(1)
Crystalline TaSN2O at its relaxed geometry. Source: Alexandria, functional PBE.

The electronic total energy comes out at -33.2 eV/cell. Its total moment is 0.1402 μB/atom. The volume comes out at 49 Å³/cell. For the uncorrected formation energy, the calculation gives 85 kJ per mole of atoms.

The structure belongs to space group P4/mmm (No. 123); the cell edges are 3.7529, 3.7529 and 3.4733 Å and the angles 90.00°, 90.00° and 90.00°. The inequivalent atoms are Ta at (0.0000, 0.0000, 0.0000), S at (0.5000, 0.5000, 0.5000), N at (0.0000, 0.5000, 0.5000) and O at (0.5000, 0.5000, 0.0000).

(2)
Crystalline TaSNO2 at its relaxed geometry. Source: Alexandria, functional PBE.

The electronic total energy comes out at -37.1 eV/cell. Its total moment is 0.2095 μB/atom. The volume comes out at 66 Å³/cell. For the uncorrected formation energy, the calculation gives -56 kJ per mole of atoms.

The structure belongs to space group P4/mmm (No. 123); the cell edges are 3.8766, 3.8766 and 4.4029 Å and the angles 90.00°, 90.00° and 90.00°. The inequivalent atoms are Ta at (0.0000, 0.0000, 0.0000), S at (0.5000, 0.5000, 0.5000), N at (0.0000, 0.0000, 0.5000) and O at (0.0000, 0.5000, 0.0000).

(3)
Crystalline TcS2NO at its relaxed geometry. Source: Alexandria, functional PBE.

The electronic total energy comes out at -27.3 eV/cell. Its total moment is 0.0000 μB/atom. The volume comes out at 80 Å³/cell. For the uncorrected formation energy, the calculation gives 89 kJ per mole of atoms.

The structure belongs to space group P4/mmm (No. 123); the cell edges are 4.6363, 4.6363 and 3.7128 Å and the angles 90.00°, 90.00° and 90.00°. The inequivalent atoms are Tc at (0.0000, 0.0000, 0.0000), S at (0.0000, 0.5000, 0.0000), N at (0.0000, 0.0000, 0.5000) and O at (0.5000, 0.5000, 0.5000).

(4)
Crystalline TcS2NO at its relaxed geometry. Source: Alexandria, functional PBE.

The electronic total energy comes out at -24.5 eV/cell. Its total moment is 0.0000 μB/atom. The volume comes out at 59 Å³/cell. For the uncorrected formation energy, the calculation gives 144 kJ per mole of atoms.

The structure belongs to space group P4/mmm (No. 123); the cell edges are 3.9671, 3.9671 and 3.7684 Å and the angles 90.00°, 90.00° and 90.00°. The inequivalent atoms are Tc at (0.0000, 0.0000, 0.0000), S at (0.0000, 0.5000, 0.5000), N at (0.5000, 0.5000, 0.0000) and O at (0.5000, 0.5000, 0.5000).

(5)
Crystalline Ti2SNO at its relaxed geometry. Source: Alexandria, functional PBE.

The electronic total energy comes out at -168.9 eV/cell. Its total moment is 0.0000 μB/atom. The volume comes out at 285 Å³/cell. For the uncorrected formation energy, the calculation gives -174 kJ per mole of atoms.

The structure belongs to space group C2/m (No. 12); the cell edges are 11.1240, 3.3593 and 9.1353 Å and the angles 90.00°, 123.41° and 90.00°. The inequivalent atoms are Ti at (0.1455, 0.0000, 0.0039), Ti at (0.2008, 0.5000, 0.3097), S at (0.1269, 0.5000, 0.5124), N at (0.2422, 0.5000, 0.1152) and O at (0.0611, 0.0000, 0.1726).

(6)
Crystalline TiSNO2 at its relaxed geometry. Source: Alexandria, functional PBE.

The electronic total energy comes out at -30.0 eV/cell. Its total moment is 0.2444 μB/atom. The volume comes out at 50 Å³/cell. For the uncorrected formation energy, the calculation gives 4 kJ per mole of atoms.

The structure belongs to space group P4/mmm (No. 123); the cell edges are 3.6246, 3.6246 and 3.8234 Å and the angles 90.00°, 90.00° and 90.00°. The inequivalent atoms are Ti at (0.0000, 0.0000, 0.0000), S at (0.5000, 0.5000, 0.5000), N at (0.5000, 0.5000, 0.0000) and O at (0.0000, 0.5000, 0.5000).